[1]
## RbNaUSe3 (PBE)

Data for RbNaUSe3 after structural relaxation.

Cell and atoms, written as CIF:
```
data_RbNaUSe3
_cell_length_a 8.654
_cell_length_b 4.260
_cell_length_c 10.509
_cell_angle_alpha 90.00
_cell_angle_beta 92.17
_cell_angle_gamma 90.00
_space_group_name_H-M_alt 'P 1 21/m 1'
_space_group_IT_number 11
loop_
_space_group_symop_operation_xyz
'x,y,z'
'-x,-y,-z'
'-x,y+1/2,-z'
'x,-y+1/2,z'
loop_
_atom_site_label
_atom_site_type_symbol
_atom_site_fract_x
_atom_site_fract_y
_atom_site_fract_z
Rb1 Rb 0.061 0.250 0.322
Na1 Na 0.311 0.750 0.981
U1 U 0.439 0.250 0.672
Se1 Se 0.188 0.250 0.818
Se2 Se 0.313 0.750 0.510
Se3 Se 0.413 0.250 0.187
```

Properties
Formation energy without anion corrections ... -1.210 eV per atom
Total magnetization ... 4.00 μB per cell

=====

[2]
## SbPb3 (PBE)

Data for SbPb3 after structural relaxation.

Cell and atoms, written as CIF:
```
data_SbPb3
_cell_length_a 6.368
_cell_length_b 6.385
_cell_length_c 6.903
_cell_angle_alpha 63.91
_cell_angle_beta 84.41
_cell_angle_gamma 83.69
_space_group_name_H-M_alt 'P -1'
_space_group_IT_number 2
loop_
_space_group_symop_operation_xyz
'x,y,z'
'-x,-y,-z'
loop_
_atom_site_label
_atom_site_type_symbol
_atom_site_fract_x
_atom_site_fract_y
_atom_site_fract_z
Sb1 Sb 0.108 0.240 0.367
Pb1 Pb 0.152 0.244 0.901
Pb2 Pb 0.331 0.698 0.319
Pb3 Pb 0.388 0.768 0.788
```

Properties
Formation energy without anion corrections ... 0.037 eV per atom
Total magnetization ... 0.00 μB per cell

=====

[3]
## Ni3RhBr9 (PBE)

Data for Ni3RhBr9 after structural relaxation.

Cell and atoms, written as CIF:
```
data_Ni3RhBr9
_cell_length_a 17.563
_cell_length_b 8.981
_cell_length_c 12.645
_cell_angle_alpha 90.00
_cell_angle_beta 128.64
_cell_angle_gamma 90.00
_space_group_name_H-M_alt 'C 1 c 1'
_space_group_IT_number 9
loop_
_space_group_symop_operation_xyz
'x,y,z'
'x,-y,z+1/2'
'x+1/2,y+1/2,z'
'x+1/2,-y+1/2,z+1/2'
loop_
_atom_site_label
_atom_site_type_symbol
_atom_site_fract_x
_atom_site_fract_y
_atom_site_fract_z
Ni1 Ni 0.000 0.053 0.000
Ni2 Ni 0.145 0.438 0.956
Ni3 Ni 0.403 0.121 0.614
Rh1 Rh 0.266 0.214 0.778
Br1 Br 0.037 0.237 0.906
Br2 Br 0.074 0.378 0.286
Br3 Br 0.125 0.051 0.714
Br4 Br 0.162 0.435 0.634
Br5 Br 0.261 0.087 0.595
Br6 Br 0.271 0.310 0.972
Br7 Br 0.383 0.358 0.518
Br8 Br 0.386 0.020 0.941
Br9 Br 0.415 0.355 0.842
```

Properties
Formation energy without anion corrections ... -0.221 eV per atom
Total magnetization ... 24.32 μB per cell